Computed, not measured: a geometry-optimized Co2CuSbH structure at the PBE level of DFT.

Unit cell a=3.839 b=3.839 c=3.689 alpha=90.00 beta=90.00 gamma=90.00
Sites, in units of the cell vectors:
Co: 0.500 0.000 0.000
Cu: 0.000 0.000 0.500
Co: 0.000 0.500 0.000
H: 0.000 0.000 0.000
Sb: 0.500 0.500 0.500

- E: -5.093 eV/atom
- D(E_F): 0.518 states/eV/atom